A plane-wave DFT calculation with PBE was carried out for a relaxed structure of La2PrDy4Th.

```
La2PrDy4Th
1.0
3.633 0.000 0.000
0.000 6.230 1.083
0.000 4.274 12.492
La Pr Dy Th
2 1 4 1
Direct
0.000 0.000 0.000
0.500 0.000 0.500
0.500 0.500 0.000
0.000 0.925 0.747
0.000 0.075 0.253
0.500 0.580 0.256
0.500 0.420 0.744
0.000 0.500 0.500
```

Output
The calculation puts the formation energy from the elements at 5 kJ/mol of formula units. The calculated volume is 33.2 A^3/atom. Its space group is P2/m, No. 10. As for the total moment: 0.00 μB/cell. The value obtained for the electronic total energy is -5.05 eV/atom. The calculation puts the density of states at the Fermi level at 1.302 states/eV per atom.